Record 1
The following is a DFT calculation (GGA-PBE) of a relaxed structure of CaIn2Cu.

Lattice parameters (Å, degrees): 4.0899 4.2030 6.0794 90.00 109.55 90.00
Closest atoms and distances in Å follow each position.
Sites, in units of the cell vectors:
Ca 0.0000 0.0000 0.0000  4 Cu 3.05-3.06, 3 In 3.18-3.27
In 0.3242 0.5000 0.6499  1 Cu 2.86, 4 In 3.16
In 0.7216 0.0000 0.4441  2 Cu 2.69
Cu 0.5750 0.5000 0.1497  3 In 2.69-2.86

Properties
ΔE_f: -0.57 eV per formula unit
theoretical density: 5.619 g/cm³
electronic total energy: -3.036 eV per atom


Record 2
The following is a DFT calculation (GGA-PBE) of a relaxed structure of CaIn4Cu.

Lattice parameters (Å, degrees): 6.0747 6.0747 6.0747 60.00 60.00 60.00
Closest atoms and distances in Å follow each position.
Sites, in units of the cell vectors:
Ca 0.0000 0.0000 0.0000  12 In 3.56, 4 Cu 3.72
In 0.3751 0.3751 0.3751  6 In 3.03-3.04
In 0.3751 0.3751 0.8746  6 In 3.03-3.04
In 0.3751 0.8746 0.3751  6 In 3.03-3.04
In 0.8746 0.3751 0.3751  6 In 3.03-3.04
Cu 0.7500 0.7500 0.7500  12 In 3.56, 4 Ca 3.72

Properties
ΔE_f: 0.70 eV per formula unit
theoretical density: 5.897 g/cm³
electronic total energy: -2.726 eV per atom


Record 3
The following is a DFT calculation (GGA-PBE) of a relaxed structure of Ca5In4Cu.

Lattice parameters (Å, degrees): 3.8258 3.8258 18.9650 90.00 90.00 90.00
Closest atoms and distances in Å follow each position.
Sites, in units of the cell vectors:
Ca 0.0000 0.0000 0.0000  8 In 3.34
Ca 0.0000 0.0000 0.2049  8 In 3.32
Ca 0.0000 0.0000 0.4100  4 Cu 3.20, 4 In 3.35, 1 Ca 3.42
Ca 0.0000 0.0000 0.5900  4 Cu 3.20, 4 In 3.35, 1 Ca 3.42
Ca 0.0000 0.0000 0.7951  8 In 3.32
In 0.5000 0.5000 0.1037  8 Ca 3.32-3.34
In 0.5000 0.5000 0.3061  8 Ca 3.32-3.35, 1 Cu 3.68
In 0.5000 0.5000 0.6939  8 Ca 3.32-3.35, 1 Cu 3.68
In 0.5000 0.5000 0.8963  8 Ca 3.32-3.34
Cu 0.5000 0.5000 0.5000  8 Ca 3.20

Properties
ΔE_f: -3.67 eV per formula unit
theoretical density: 4.326 g/cm³
electronic total energy: -2.873 eV per atom


| no. | total moment (μB/atom) |
| --- | --- |
| 1 | 0.00 |
| 2 | 0.00 |
| 3 | 0.00 |